A plane-wave DFT calculation with PBE was carried out for a relaxed AgHCl3 crystal.

Cell lengths 6.6661, 6.6661, 10.2907 Å; angles 90.00, 90.00, 120.00 degrees
Last column: nearest neighbours and their distance in Å.
Space group R3m (No. 160, hexagonal axes)
Unique sites:
Ag (0.0000, 0.0000, 0.0000) [3 per cell]  1 H 2.38, 6 Cl 2.54-2.64
H (0.0000, 0.0000, 0.2309) [3 per cell]  3 Cl 1.83
Cl (0.1794, 0.3588, 0.8567) [9 per cell]  1 H 1.83

Summary:
density of states at the Fermi level = 3.4 states/eV/cell
polymorph energy (0 for the lowest one) = 0.2640 eV/atom
total energy = -36.85 eV/cell